CsCu2IrO: optimized geometry, GGA-PBE.

For the raw total energy, the calculation gives -4.386 eV/atom. For the formation energy without anion corrections, the calculation gives 187 meV/atom. Its symmetry is P4/mmm. Its density of states at the Fermi level is 0.44 states/eV/atom. The value obtained for the density is 7.7 g cm⁻³.

a b c (Å): 5.135 5.135 3.808
angles (deg): 90.00 90.00 90.00
Positions (direct):
Cs 0.000 0.000 0.000
Cu 0.000 0.500 0.500
Cu 0.500 0.000 0.500
Ir 0.500 0.500 0.500
O 0.500 0.500 0.000

***

Si23As3: optimized geometry, GGA-PBE.

For the raw total energy, the calculation gives -5.042 eV/atom. For the formation energy without anion corrections, the calculation gives 292 meV/atom. Its symmetry is Pm-3n. Its density of states at the Fermi level is 0.46 states/eV/atom. The value obtained for the density is 2.8 g cm⁻³.

a b c (Å): 10.157 10.157 10.157
angles (deg): 90.00 90.00 90.00
Positions (direct):
Si 0.000 0.116 0.310
Si 0.000 0.116 0.690
Si 0.000 0.250 0.500
Si 0.000 0.750 0.500
Si 0.000 0.884 0.310
Si 0.000 0.884 0.690
Si 0.116 0.310 0.000
Si 0.116 0.690 0.000
Si 0.184 0.184 0.184
Si 0.184 0.184 0.816
Si 0.184 0.816 0.184
Si 0.184 0.816 0.816
Si 0.190 0.384 0.500
Si 0.190 0.616 0.500
Si 0.250 0.500 0.000
Si 0.310 0.000 0.116
Si 0.310 0.000 0.884
Si 0.316 0.316 0.316
Si 0.316 0.316 0.684
Si 0.316 0.684 0.316
Si 0.316 0.684 0.684
Si 0.384 0.500 0.190
Si 0.384 0.500 0.810
Si 0.500 0.000 0.250
Si 0.500 0.000 0.750
Si 0.500 0.190 0.384
Si 0.500 0.190 0.616
Si 0.500 0.810 0.384
Si 0.500 0.810 0.616
Si 0.616 0.500 0.190
Si 0.616 0.500 0.810
Si 0.684 0.316 0.316
Si 0.684 0.316 0.684
Si 0.684 0.684 0.316
Si 0.684 0.684 0.684
Si 0.690 0.000 0.116
Si 0.690 0.000 0.884
Si 0.750 0.500 0.000
Si 0.810 0.384 0.500
Si 0.810 0.616 0.500
Si 0.816 0.184 0.184
Si 0.816 0.184 0.816
Si 0.816 0.816 0.184
Si 0.816 0.816 0.816
Si 0.884 0.310 0.000
Si 0.884 0.690 0.000
As 0.000 0.500 0.250
As 0.000 0.500 0.750
As 0.250 0.000 0.500
As 0.500 0.250 0.000
As 0.500 0.750 0.000
As 0.750 0.000 0.500

***

FeHgW2: optimized geometry, GGA-PBE.

For the raw total energy, the calculation gives -8.119 eV/atom. Its symmetry is Pm. Its density of states at the Fermi level is 0.62 states/eV/atom. The value obtained for the density is 15.8 g cm⁻³.

a b c (Å): 2.746 4.347 5.616
angles (deg): 90.00 101.77 90.00
Positions (direct):
Fe 0.000 0.000 0.000
Hg 0.902 0.500 0.275
W 0.283 0.500 0.793
W 0.519 0.000 0.556

***

TcSb2MoBr: optimized geometry, GGA-PBE.

For the raw total energy, the calculation gives -5.340 eV/atom. For the formation energy without anion corrections, the calculation gives 883 meV/atom. Its symmetry is P4/mmm. Its density of states at the Fermi level is 1.12 states/eV/atom. The value obtained for the density is 6.4 g cm⁻³.

a b c (Å): 5.271 5.271 4.836
angles (deg): 90.00 90.00 90.00
Positions (direct):
Tc 0.000 0.000 0.000
Sb 0.000 0.500 0.500
Sb 0.500 0.000 0.500
Mo 0.000 0.000 0.500
Br 0.500 0.500 0.000

***

TbNdPt10: optimized geometry, GGA-PBE.

For the raw total energy, the calculation gives -6.523 eV/atom. Its symmetry is Pmmm. Its density of states at the Fermi level is 0.78 states/eV/atom. The value obtained for the density is 16.7 g cm⁻³.

a b c (Å): 4.450 5.405 9.312
angles (deg): 90.00 90.00 90.00
Positions (direct):
Tb 0.000 0.000 0.000
Nd 0.000 0.500 0.500
Pt 0.000 0.000 0.330
Pt 0.000 0.000 0.670
Pt 0.000 0.500 0.164
Pt 0.000 0.500 0.836
Pt 0.500 0.000 0.500
Pt 0.500 0.249 0.248
Pt 0.500 0.249 0.752
Pt 0.500 0.500 0.000
Pt 0.500 0.751 0.248
Pt 0.500 0.751 0.752

***

BaCdSi2: optimized geometry, GGA-PBE.

For the raw total energy, the calculation gives -3.459 eV/atom. For the formation energy without anion corrections, the calculation gives -38 meV/atom. Its symmetry is Cm. Its density of states at the Fermi level is 0.39 states/eV/atom. The value obtained for the density is 4.7 g cm⁻³.

a b c (Å): 4.902 4.902 6.547
angles (deg): 109.10 109.10 47.26
Positions (direct):
Ba 0.000 0.000 0.000
Cd 0.196 0.196 0.630
Si 0.448 0.448 0.473
Si 0.783 0.783 0.331

***

TaCoSCl2: optimized geometry, GGA-PBE.

For the excess energy over the best structure of this formula in the dataset, the calculation gives 0.00 eV/f.u. For the raw total energy, the calculation gives -5.118 eV/atom. For the formation energy without anion corrections, the calculation gives 238 meV/atom. Its symmetry is P4/mmm. Its density of states at the Fermi level is 1.70 states/eV/atom. The value obtained for the density is 5.1 g cm⁻³.

a b c (Å): 4.839 4.839 4.805
angles (deg): 90.00 90.00 90.00
Positions (direct):
Ta 0.000 0.000 0.000
Co 0.500 0.500 0.500
S 0.000 0.000 0.500
Cl 0.000 0.500 0.000
Cl 0.500 0.000 0.000

***

K2TlW: optimized geometry, GGA-PBE.

For the excess energy over the best structure of this formula in the dataset, the calculation gives 0.00 eV/f.u. For the raw total energy, the calculation gives -3.399 eV/atom. Its symmetry is Pm. Its density of states at the Fermi level is 0.50 states/eV/atom. The value obtained for the density is 5.2 g cm⁻³.

a b c (Å): 3.096 4.768 10.078
angles (deg): 90.00 93.76 90.00
Positions (direct):
K 0.000 0.000 0.000
K 0.382 0.500 0.398
Tl 0.437 0.000 0.682
W 0.946 0.500 0.719